1.
# PmTlBi | the Open Quantum Materials Database | PBE-GGA | relaxed
# E_tot ... -3.8639 eV per atom
data_PmTlBi
_symmetry_space_group_name_H-M 'F -4 3 m'
_symmetry_Int_Tables_number 216
_symmetry_space_group_name_Hall 'F -4 2 3'
_cell_length_a 7.450
_cell_length_b 7.450
_cell_length_c 7.450
_cell_angle_alpha 90.00
_cell_angle_beta 90.00
_cell_angle_gamma 90.00
loop_
_atom_site_label
_atom_site_fract_x
_atom_site_fract_y
_atom_site_fract_z
_atom_site_occupancy
Pm1 0.000 0.000 0.000 1
Tl1 0.250 0.250 0.750 1
Bi1 0.000 0.000 0.500 1

2.
# LiSc2Pd3 | the Open Quantum Materials Database | PBE-GGA | relaxed
# E_tot ... -5.8275 eV per atom
data_LiSc2Pd3
_symmetry_space_group_name_H-M 'P 4/m m m'
_symmetry_Int_Tables_number 123
_symmetry_space_group_name_Hall '-P 4 2'
_cell_length_a 3.319
_cell_length_b 3.319
_cell_length_c 9.080
_cell_angle_alpha 90.00
_cell_angle_beta 90.00
_cell_angle_gamma 90.00
loop_
_atom_site_label
_atom_site_fract_x
_atom_site_fract_y
_atom_site_fract_z
_atom_site_occupancy
Li1 0.000 0.000 0.000 1
Sc1 0.000 0.000 0.320 1
Pd1 0.500 0.500 0.155 1
Pd2 0.500 0.500 0.500 1

3.
# Cu7Ag3 | the Open Quantum Materials Database | PBE-GGA | relaxed
# Offset from the most stable computed form ... 38 meV per atom
# E_tot ... -3.3667 eV per atom
# ΔE_f ... 0.082 eV per atom
data_Cu7Ag3
_symmetry_space_group_name_H-M 'P 1 2/m 1'
_symmetry_Int_Tables_number 10
_cell_length_a 6.645
_cell_length_b 2.749
_cell_length_c 7.607
_cell_angle_alpha 90.00
_cell_angle_beta 100.41
_cell_angle_gamma 90.00
loop_
_symmetry_equiv_pos_as_xyz
'x,y,z'
'-x,-y,-z'
'-x,y,-z'
'x,-y,z'
loop_
_atom_site_label
_atom_site_fract_x
_atom_site_fract_y
_atom_site_fract_z
_atom_site_occupancy
Cu1 0.000 0.000 0.000 1
Cu2 0.087 0.500 0.294 1
Cu3 0.180 0.000 0.578 1
Cu4 0.365 0.000 0.197 1
Ag1 0.307 0.500 0.882 1
Ag2 0.500 0.500 0.500 1

4.
# HfZr3Pd2 | the Open Quantum Materials Database | PBE-GGA | relaxed
# E_tot ... -8.1578 eV per atom
# ΔE_f ... -0.500 eV per atom
data_HfZr3Pd2
_symmetry_space_group_name_H-M 'P 4 m m'
_symmetry_Int_Tables_number 99
_cell_length_a 3.331
_cell_length_b 3.331
_cell_length_c 10.770
_cell_angle_alpha 90.00
_cell_angle_beta 90.00
_cell_angle_gamma 90.00
loop_
_symmetry_equiv_pos_as_xyz
'x,y,z'
'-y,x,z'
'-x,-y,z'
'y,-x,z'
'-x,y,z'
'y,x,z'
'x,-y,z'
'-y,-x,z'
loop_
_atom_site_label
_atom_site_fract_x
_atom_site_fract_y
_atom_site_fract_z
_atom_site_occupancy
Hf1 0.000 0.000 0.000 1
Zr1 0.000 0.000 0.312 1
Zr2 0.500 0.500 0.499 1
Zr3 0.500 0.500 0.816 1
Pd1 0.000 0.000 0.655 1
Pd2 0.500 0.500 0.152 1